1.
The following is a PBE calculation of an optimized crystal structure of Mg2InNiW, from Alexandria via LeMat-Bulk.

Results
For the total energy, the calculation gives -3.233 eV/atom. The calculation puts the energy of formation at 164.0 kJ/mol of atoms. As for the density of states at the Fermi level: 3.9 states/eV/f.u. The space group is P4/mmm (123).

a = 5.022 Å, b = 5.153 Å, c = 5.022 Å
α = 90.00°, β = 90.00°, γ = 90.00°
Each line ends with the local moment (μB).
Sites, in units of the cell vectors:
Ni 0.500 0.500 0.500  0.07
Mg 0.000 0.000 0.500  -0.02
Mg 0.500 0.000 0.000  -0.01
W 0.000 0.500 0.000  1.83
In 0.000 0.000 0.000  -0.04

=====

2.
The following is a PBE calculation of an optimized crystal structure of MnFeCl2, from Alexandria via LeMat-Bulk.

Results
For the offset from the most stable computed form, the calculation gives 0.4045 eV/atom. For the formation energy without anion corrections, the calculation gives 0.044 eV per atom. For the total energy, the calculation gives -5.287 eV/atom. As for the density of states at the Fermi level: 4.3 states/eV/f.u. The space group is I-42d (122).

a = 4.642 Å, b = 4.642 Å, c = 7.699 Å
α = 72.45°, β = 72.45°, γ = 90.00°
Each line ends with the local moment (μB).
Sites, in units of the cell vectors:
Mn 0.500 0.500 0.000  3.86
Mn 0.250 0.750 0.500  3.86
Fe 0.000 0.000 0.000  2.79
Fe 0.750 0.250 0.500  2.81
Cl 0.638 0.125 0.250  0.07
Cl 0.112 0.625 0.250  0.07
Cl 0.375 0.362 0.750  0.07
Cl 0.875 0.888 0.750  0.07

=====

What is the formula in the second record?
MnFeCl2